1.
AuSe | PBE | optimized geometry

Cell and atoms, written as POSCAR:
```
AuSe
1.0
1.8383 1.0614 3.4281
-1.8383 1.0614 3.4281
0.0000 -2.1227 3.4281
Au Se
1 1
Direct
0.0000 0.0000 0.0000
0.5000 0.5000 0.5000
```

Volume (A^3/atom): 20.07
DFT total energy (eV/cell): -6.58

2.
SmSnAuSe3 | PBE | optimized geometry

Cell and atoms, written as POSCAR:
```
SmSnAuSe3
1.0
12.1478 0.0000 0.0000
0.0000 4.3184 0.0000
0.0000 0.0000 12.5998
Sm Sn Au Se
4 4 4 12
Direct
0.0119 0.2500 0.1723
0.4881 0.7500 0.6723
0.5119 0.2500 0.3277
0.9881 0.7500 0.8277
0.1888 0.2500 0.5643
0.3112 0.7500 0.0643
0.6888 0.2500 0.9357
0.8112 0.7500 0.4357
0.2023 0.7500 0.4003
0.2977 0.2500 0.9003
0.7023 0.7500 0.0997
0.7977 0.2500 0.5997
0.0128 0.7500 0.3305
0.0989 0.2500 0.9491
0.2460 0.7500 0.7057
0.2540 0.2500 0.2057
0.4011 0.7500 0.4491
0.4872 0.2500 0.8305
0.5128 0.7500 0.1695
0.5989 0.2500 0.5509
0.7460 0.7500 0.7943
0.7540 0.2500 0.2943
0.9011 0.7500 0.0509
0.9872 0.2500 0.6695
```

Size of the total moment (μB per cell): 0.0
Volume (A^3/atom): 27.54
Energy above the most stable polymorph in this dataset (eV per formula unit): 0.00
DFT total energy (eV/cell): -111.39

3.
SmSnAuSe3 | PBE | optimized geometry

Cell and atoms, written as POSCAR:
```
SmSnAuSe3
1.0
2.0468 -6.9078 0.0000
2.0468 6.9078 0.0000
0.0000 0.0000 10.7450
Sm Sn Au Se
2 2 2 6
Direct
0.0000 0.0000 0.0000
0.0000 0.0000 0.5000
0.2319 0.7681 0.7500
0.7681 0.2319 0.2500
0.4682 0.5318 0.2500
0.5318 0.4682 0.7500
0.0961 0.9039 0.2500
0.3510 0.6490 0.0583
0.3510 0.6490 0.4417
0.6490 0.3510 0.5583
0.6490 0.3510 0.9417
0.9039 0.0961 0.7500
```

Size of the total moment (μB per cell): 0.0
Volume (A^3/atom): 25.32
Energy above the most stable polymorph in this dataset (eV per formula unit): 0.15
DFT total energy (eV/cell): -55.40